No. 1
# HgW3

HgW3 at its PBEsol-relaxed geometry (SCAN, Alexandria).

Cell lengths 4.933, 4.933, 4.933 Å; angles 90.00, 90.00, 90.00 degrees
Fractional coordinates of all 4 atoms:
Hg  0.000  0.000  0.000
W  0.000  0.000  0.500
W  0.000  0.500  0.000
W  0.500  0.000  0.000

Computed properties:
total moment = 0.00 μB per cell
V = 120 Å³/cell
ΔH_f (0 K) = 4.745 eV per atom
symmetry = Pm-3m
calculated density = 10.40 Mg/m³
final energy = -258.2 eV/f.u.

---

No. 2
# YHg3W

YHg3W at its PBEsol-relaxed geometry (SCAN, Alexandria).

Cell lengths 5.520, 5.520, 5.520 Å; angles 90.00, 90.00, 90.00 degrees
Fractional coordinates of all 5 atoms:
Y  0.000  0.000  0.000
Hg  0.000  0.000  0.500
Hg  0.000  0.500  0.000
Hg  0.500  0.000  0.000
W  0.500  0.500  0.500

Computed properties:
total moment = 4.69 μB per cell
V = 168 Å³/cell
ΔH_f (0 K) = 1.647 eV per atom
symmetry = Pm-3m
calculated density = 8.63 Mg/m³
final energy = -293.8 eV/f.u.

---

No. 3
# YHg2W

YHg2W at its PBEsol-relaxed geometry (SCAN, Alexandria).

Cell lengths 3.049, 4.211, 6.209 Å; angles 90.00, 90.00, 90.00 degrees
Fractional coordinates of all 4 atoms:
Y  0.000  0.000  0.000
Hg  0.500  0.500  0.271
Hg  0.500  0.500  0.729
W  0.000  0.000  0.500

Computed properties:
total moment = 0.00 μB per cell
relative energy among the computed polymorphs = 0 meV per atom
V = 80 Å³/cell
ΔH_f (0 K) = 0.267 eV per atom
symmetry = Pmmm
calculated density = 14.04 Mg/m³
final energy = -232.8 eV/f.u.

---

No. 4
# YHg2W

YHg2W at its PBEsol-relaxed geometry (SCAN, Alexandria).

Cell lengths 4.870, 4.870, 4.870 Å; angles 60.00, 60.00, 60.00 degrees
Fractional coordinates of all 4 atoms:
Y  0.000  0.000  0.000
Hg  0.250  0.250  0.250
Hg  0.750  0.750  0.750
W  0.500  0.500  0.500

Computed properties:
total moment = 1.21 μB per cell
relative energy among the computed polymorphs = 126 meV per atom
V = 82 Å³/cell
ΔH_f (0 K) = 0.393 eV per atom
symmetry = Fm-3m
calculated density = 13.70 Mg/m³
final energy = -232.3 eV/f.u.

---

No. 5
# Y2HgW

Y2HgW at its PBEsol-relaxed geometry (SCAN, Alexandria).

Cell lengths 5.827, 5.827, 5.374 Å; angles 104.22, 104.22, 30.72 degrees
Fractional coordinates of all 4 atoms:
Y  0.000  0.000  0.000
Y  0.196  0.196  0.632
Hg  0.441  0.441  0.470
W  0.746  0.746  0.148

Computed properties:
total moment = 0.00 μB per cell
V = 90 Å³/cell
ΔH_f (0 K) = 0.187 eV per atom
symmetry = Cm
calculated density = 10.36 Mg/m³
final energy = -192.8 eV/f.u.

---

No. 6
# Y2HgW

Y2HgW at its PBEsol-relaxed geometry (SCAN, Alexandria).

Cell lengths 3.837, 3.837, 6.217 Å; angles 90.00, 90.00, 90.00 degrees
Fractional coordinates of all 4 atoms:
Y  0.000  0.000  0.000
Y  0.500  0.500  0.317
Hg  0.000  0.000  0.540
W  0.500  0.500  0.809

Computed properties:
total moment = 0.00 μB per cell
V = 92 Å³/cell
ΔH_f (0 K) = 0.400 eV per atom
symmetry = P4mm
calculated density = 10.20 Mg/m³
final energy = -191.9 eV/f.u.